(1)
The following is a PBE-GGA calculation of a relaxed structure of NbCr2Os, from Alexandria via LeMat-Bulk.

Cell and atoms, written as CIF:
```
data_NbCr2Os
_space_group_name_H-M_alt 'I -4 2 d'
_space_group_IT_number 122
_space_group_name_Hall 'I -4 2bw'
_cell_length_a 6.864
_cell_length_b 6.864
_cell_length_c 5.195
_cell_angle_alpha 90.00
_cell_angle_beta 90.00
_cell_angle_gamma 90.00
loop_
_atom_site_label
_atom_site_type_symbol
_atom_site_fract_x
_atom_site_fract_y
_atom_site_fract_z
_atom_site_occupancy
Nb1 Nb 0.000 0.000 0.000 1
Cr1 Cr 0.229 0.250 0.625 1
Os1 Os 0.000 0.000 0.500 1
```

energy above the lowest structure with this stoichiometry = 0.660 eV/atom
total magnetization = 0.00 μB per formula unit

=====

(2)
The following is a PBE-GGA calculation of a relaxed structure of Nd3Pu2ScTe6, from Alexandria via LeMat-Bulk.

Cell and atoms, written as CIF:
```
data_Nd3Pu2ScTe6
_space_group_name_H-M_alt 'C 1 2/m 1'
_space_group_IT_number 12
_cell_length_a 19.317
_cell_length_b 4.399
_cell_length_c 8.892
_cell_angle_alpha 90.00
_cell_angle_beta 104.01
_cell_angle_gamma 90.00
loop_
_space_group_symop_operation_xyz
'x,y,z'
'-x,-y,-z'
'-x,y,-z'
'x,-y,z'
'x+1/2,y+1/2,z'
'-x+1/2,-y+1/2,-z'
'-x+1/2,y+1/2,-z'
'x+1/2,-y+1/2,z'
loop_
_atom_site_label
_atom_site_type_symbol
_atom_site_fract_x
_atom_site_fract_y
_atom_site_fract_z
_atom_site_occupancy
Nd1 Nd 0.000 0.000 0.000 1
Nd2 Nd 0.171 0.500 0.336 1
Pu1 Pu 0.165 0.500 0.831 1
Sc1 Sc 0.000 0.000 0.500 1
Te1 Te 0.001 0.500 0.267 1
Te2 Te 0.159 0.000 0.583 1
Te3 Te 0.169 0.000 0.079 1
```

uncorrected formation energy = -15.183 eV/f.u.
total magnetization = 11.97 μB per formula unit

=====

(3)
The following is a PBE-GGA calculation of a relaxed structure of SbSeOF2, from Alexandria via LeMat-Bulk.

Cell and atoms, written as CIF:
```
data_SbSeOF2
_space_group_name_H-M_alt 'P 4/m m m'
_space_group_IT_number 123
_space_group_name_Hall '-P 4 2'
_cell_length_a 4.527
_cell_length_b 4.527
_cell_length_c 4.173
_cell_angle_alpha 90.00
_cell_angle_beta 90.00
_cell_angle_gamma 90.00
loop_
_atom_site_label
_atom_site_type_symbol
_atom_site_fract_x
_atom_site_fract_y
_atom_site_fract_z
_atom_site_occupancy
Sb1 Sb 0.000 0.000 0.000 1
Se1 Se 0.500 0.500 0.500 1
O1 O 0.000 0.000 0.500 1
F1 F 0.000 0.500 0.000 1
```

energy above the lowest structure with this stoichiometry = 0.000 eV/atom
uncorrected formation energy = -4.459 eV/f.u.
total magnetization = 2.51 μB per formula unit

=====

(4)
The following is a PBE-GGA calculation of a relaxed structure of MgTa2Pd, from Alexandria via LeMat-Bulk.

Cell and atoms, written as CIF:
```
data_MgTa2Pd
_space_group_name_H-M_alt 'I -4 2 d'
_space_group_IT_number 122
_space_group_name_Hall 'I -4 2bw'
_cell_length_a 7.641
_cell_length_b 7.641
_cell_length_c 5.277
_cell_angle_alpha 90.00
_cell_angle_beta 90.00
_cell_angle_gamma 90.00
loop_
_atom_site_label
_atom_site_type_symbol
_atom_site_fract_x
_atom_site_fract_y
_atom_site_fract_z
_atom_site_occupancy
Mg1 Mg 0.000 0.000 0.000 1
Ta1 Ta 0.215 0.250 0.625 1
Pd1 Pd 0.000 0.000 0.500 1
```

uncorrected energy = -7.152 eV/atom
total magnetization = 0.00 μB per formula unit

=====

(5)
The following is a PBE-GGA calculation of a relaxed structure of Ca2Ag2Au, from Alexandria via LeMat-Bulk.

Cell and atoms, written as CIF:
```
data_Ca2Ag2Au
_space_group_name_H-M_alt 'I 4/m m m'
_space_group_IT_number 139
_space_group_name_Hall '-I 4 2'
_cell_length_a 3.837
_cell_length_b 3.837
_cell_length_c 17.022
_cell_angle_alpha 90.00
_cell_angle_beta 90.00
_cell_angle_gamma 90.00
loop_
_atom_site_label
_atom_site_type_symbol
_atom_site_fract_x
_atom_site_fract_y
_atom_site_fract_z
_atom_site_occupancy
Ca1 Ca 0.000 0.000 0.100 1
Ag1 Ag 0.000 0.500 0.250 1
Au1 Au 0.000 0.000 0.500 1
```

energy above the lowest structure with this stoichiometry = 0.085 eV/atom
total magnetization = 0.00 μB per formula unit

=====

Values of calculated volume, in order: 15.30, 30.54, 17.11, 19.26, 25.06, all in Å³/atom.